Entry 1:
Compound: Nd2PS
Source: OQMD via LeMat-Bulk
Functional: GGA-PBE
Structure: optimized geometry

Properties
Total moment in Bohr magnetons per cell: 0.0
Energy above the most stable polymorph in this dataset in eV per atom: 0.000

Cell lengths 4.1157, 4.1157, 20.2503 Å; angles 90.00, 90.00, 120.00 degrees
Closest atoms and distances in Å follow each position.
Space group R-3m (No. 166, hexagonal axes)
Symmetry-distinct sites (fractional):
Nd (0.0000, 0.0000, 0.2474) (multiplicity 6)  3 P 2.88, 3 S 2.95
P (0.0000, 0.0000, 0.5000) (multiplicity 3)  6 Nd 2.88
S (0.0000, 0.0000, 0.0000) (multiplicity 3)  6 Nd 2.95

Entry 2:
Compound: Ho4Er3Ni2Te2
Source: OQMD via LeMat-Bulk
Functional: GGA-PBE
Structure: optimized geometry

Properties
Total moment in Bohr magnetons per cell: 0.0
Uncorrected energy in eV per cell: -113.77

Cell lengths 3.8343, 15.5446, 9.5215 Å; angles 90.00, 90.00, 90.00 degrees
Closest atoms and distances in Å follow each position.
Space group Imm2 (No. 44)
Symmetry-distinct sites (fractional):
Ho (0.0000, 0.1330, 0.0000) (multiplicity 4)  2 Ni 2.78
Ho (0.0000, 0.3536, 0.1472) (multiplicity 4)  2 Ni 2.82, 2 Te 3.14
Er (0.0000, 0.0000, 0.4172) (multiplicity 2)  3 Te 3.16-3.21
Er (0.0000, 0.3150, 0.7966) (multiplicity 4)  2 Ni 2.77
Ni (0.0000, 0.2373, 0.4890) (multiplicity 4)  2 Er 2.77, 4 Ho 2.78-2.82
Te (0.0000, 0.0000, 0.7542) (multiplicity 2)  6 Ho 3.12-3.14, 1 Er 3.21
Te (0.0000, 0.5000, 0.6531) (multiplicity 2)  4 Er 3.16-3.18, 4 Ho 3.17

Entry 3:
Compound: Pu4Ge3
Source: OQMD via LeMat-Bulk
Functional: GGA-PBE
Structure: optimized geometry

Properties
Total moment in Bohr magnetons per cell: 80.9
Uncorrected energy in eV per cell: -295.69

Cell lengths 8.7139, 8.7139, 8.7139 Å; angles 90.00, 90.00, 90.00 degrees
Closest atoms and distances in Å follow each position.
Space group I-43d (No. 220)
Symmetry-distinct sites (fractional):
Pu (0.0782, 0.4218, 0.5782) (multiplicity 16)  6 Ge 2.97-3.06, 3 Pu 3.29
Ge (0.0000, 0.2500, 0.8750) (multiplicity 12)  8 Pu 2.97-3.06

Entry 4:
Compound: LuTlZnTe3
Source: OQMD via LeMat-Bulk
Functional: GGA-PBE
Structure: optimized geometry

Properties
Total moment in Bohr magnetons per cell: 0.0
Energy above the most stable polymorph in this dataset in eV per atom: 0.001

Cell lengths 4.3106, 15.5002, 11.4380 Å; angles 90.00, 90.00, 90.00 degrees
Closest atoms and distances in Å follow each position.
Space group Cmcm (No. 63)
Symmetry-distinct sites (fractional):
Lu (0.0000, 0.0000, 0.0000) (multiplicity 4)  6 Te 3.05-3.06
Tl (0.0000, 0.2450, 0.2500) (multiplicity 4)  6 Te 3.55-3.58, 2 Zn 3.86
Zn (0.0000, 0.4617, 0.7500) (multiplicity 4)  4 Te 2.66-2.74
Te (0.0000, 0.0708, 0.7500) (multiplicity 4)  2 Zn 2.74, 2 Lu 3.06
Te (0.0000, 0.3673, 0.5561) (multiplicity 8)  1 Zn 2.66

Entry 5:
Compound: MgGa4Os
Source: OQMD via LeMat-Bulk
Functional: GGA-PBE
Structure: optimized geometry

Properties
Total moment in Bohr magnetons per cell: 0.0
Uncorrected energy in eV per cell: -24.73

Cell lengths 4.5195, 4.5195, 5.3117 Å; angles 90.00, 90.00, 120.00 degrees
Closest atoms and distances in Å follow each position.
Space group P6/mmm (No. 191)
Symmetry-distinct sites (fractional):
Mg (0.0000, 0.0000, 0.0000) (multiplicity 1)  2 Os 2.66, 12 Ga 2.95
Ga (0.3333, 0.6667, 0.2583) (multiplicity 4)  5 Ga 2.57-2.74
Os (0.0000, 0.0000, 0.5000) (multiplicity 1)  2 Mg 2.66, 12 Ga 2.91

Entry 6:
Compound: Na3ZnF6
Source: OQMD via LeMat-Bulk
Functional: GGA-PBE
Structure: optimized geometry

Properties
Energy above the most stable polymorph in this dataset in eV per atom: 0.009

Cell lengths 5.4244, 5.4246, 5.5639 Å; angles 61.35, 61.67, 60.33 degrees
Closest atoms and distances in Å follow each position.
Space group P-1 (No. 2)
Symmetry-distinct sites (fractional):
Na (0.0000, 0.0000, 0.0000) (multiplicity 1)  6 F 2.13-2.22
Na (0.2529, 0.2398, 0.2781) (multiplicity 2)  5 F 2.20-2.35
Zn (0.5000, 0.5000, 0.5000) (multiplicity 1)  6 F 1.93-1.96
F (0.1762, 0.6700, 0.3477) (multiplicity 2)  1 Zn 1.93, 1 Na 2.15
F (0.2838, 0.2606, 0.8598) (multiplicity 2)  1 Zn 1.96
F (0.3238, 0.8160, 0.6631) (multiplicity 2)  1 Zn 1.93, 1 Na 2.13

Entry 7:
Compound: Rb3Au7
Source: OQMD via LeMat-Bulk
Functional: GGA-PBE
Structure: optimized geometry

Properties
Uncorrected energy in eV per cell: -57.02

Cell lengths 5.6056, 13.4258, 7.3441 Å; angles 90.00, 90.00, 90.00 degrees
Closest atoms and distances in Å follow each position.
Space group Cmmm (No. 65)
Symmetry-distinct sites (fractional):
Rb (0.0000, 0.0000, 0.0000) (multiplicity 2)  12 Au 3.48-3.64
Rb (0.0000, 0.1603, 0.5000) (multiplicity 4)  8 Au 3.53-3.82, 2 Rb 3.70
Au (0.0000, 0.3917, 0.1978) (multiplicity 8)  5 Au 2.65-2.91
Au (0.0000, 0.5000, 0.5000) (multiplicity 2)  4 Au 2.65
Au (0.2500, 0.2500, 0.0000) (multiplicity 4)  6 Au 2.77-2.80

Entry 8:
Compound: FeSi2Sn
Source: OQMD via LeMat-Bulk
Functional: GGA-PBE
Structure: optimized geometry

Properties
Total moment in Bohr magnetons per cell: 0.0
Uncorrected energy in eV per cell: -83.32

Cell lengths 6.2824, 6.2824, 6.2824 Å; angles 90.00, 90.00, 90.00 degrees
Closest atoms and distances in Å follow each position.
Space group F-43m (No. 216)
Symmetry-distinct sites (fractional):
Fe (0.0000, 0.0000, 0.0000) (multiplicity 4)  4 Sn 2.72, 4 Si 2.72
Si (0.0000, 0.0000, 0.5000) (multiplicity 4)  4 Sn 2.72, 4 Si 2.72
Si (0.2500, 0.2500, 0.2500) (multiplicity 4)  4 Fe 2.72, 4 Si 2.72
Sn (0.2500, 0.2500, 0.7500) (multiplicity 4)  4 Fe 2.72, 4 Si 2.72

Entry 9:
Compound: NdYCu2Bi4
Source: OQMD via LeMat-Bulk
Functional: GGA-PBE
Structure: optimized geometry

Properties
Total moment in Bohr magnetons per cell: 0.0
Uncorrected energy in eV per cell: -38.50

Cell lengths 4.5643, 4.5643, 9.7697 Å; angles 90.00, 90.00, 90.00 degrees
Closest atoms and distances in Å follow each position.
Space group P4mm (No. 99)
Symmetry-distinct sites (fractional):
Nd (0.0000, 0.0000, 0.0000) (multiplicity 1)  4 Cu 3.29, 8 Bi 3.32-3.47
Y (0.5000, 0.5000, 0.4721) (multiplicity 1)  4 Cu 3.20, 8 Bi 3.29-3.42
Cu (0.0000, 0.5000, 0.2428) (multiplicity 2)  4 Bi 2.78-2.79
Bi (0.0000, 0.0000, 0.4051) (multiplicity 1)  4 Cu 2.78
Bi (0.0000, 0.5000, 0.7331) (multiplicity 2)  4 Bi 3.23, 2 Y 3.42, 2 Nd 3.47
Bi (0.5000, 0.5000, 0.0787) (multiplicity 1)  4 Cu 2.79

Entry 10:
Compound: KRbAg2As2
Source: OQMD via LeMat-Bulk
Functional: GGA-PBE
Structure: optimized geometry

Properties
Uncorrected energy in eV per cell: -18.07

Cell lengths 4.6256, 4.6256, 7.8930 Å; angles 90.00, 90.00, 90.00 degrees
Closest atoms and distances in Å follow each position.
Space group P4mm (No. 99)
Symmetry-distinct sites (fractional):
K (0.0000, 0.0000, 0.0000) (multiplicity 1)  4 Ag 3.47, 4 As 3.47
Rb (0.5000, 0.5000, 0.6753) (multiplicity 1)  5 As 3.53-3.72, 4 Ag 3.59
Ag (0.0000, 0.5000, 0.3275) (multiplicity 2)  4 As 2.71-2.72
As (0.0000, 0.0000, 0.5061) (multiplicity 1)  4 Ag 2.71
As (0.5000, 0.5000, 0.1470) (multiplicity 1)  4 Ag 2.72

Entry 11:
Compound: KNaNi
Source: OQMD via LeMat-Bulk
Functional: GGA-PBE
Structure: optimized geometry

Properties
Total moment in Bohr magnetons per cell: 0.0
Energy above the most stable polymorph in this dataset in eV per atom: 0.000

Cell lengths 7.4021, 7.4021, 7.4021 Å; angles 90.00, 90.00, 90.00 degrees
Closest atoms and distances in Å follow each position.
Space group F-43m (No. 216)
Symmetry-distinct sites (fractional):
K (0.0000, 0.0000, 0.0000) (multiplicity 4)  4 Ni 3.21
Na (0.0000, 0.0000, 0.5000) (multiplicity 4)  4 Ni 3.21
Ni (0.2500, 0.2500, 0.2500) (multiplicity 4)  4 Na 3.21, 4 K 3.21

Entry 12:
Compound: TaSnSb
Source: OQMD via LeMat-Bulk
Functional: GGA-PBE
Structure: optimized geometry

Properties
Total moment in Bohr magnetons per cell: 0.0
Uncorrected energy in eV per cell: -73.86

Cell lengths 6.7798, 6.7798, 6.7798 Å; angles 90.00, 90.00, 90.00 degrees
Closest atoms and distances in Å follow each position.
Space group F-43m (No. 216)
Symmetry-distinct sites (fractional):
Ta (0.0000, 0.0000, 0.0000) (multiplicity 4)  4 Sn 2.94, 4 Sb 2.94
Sn (0.2500, 0.2500, 0.2500) (multiplicity 4)  4 Ta 2.94
Sb (0.2500, 0.2500, 0.7500) (multiplicity 4)  4 Ta 2.94

Entry 13:
Compound: Ta2Bi
Source: OQMD via LeMat-Bulk
Functional: GGA-PBE
Structure: optimized geometry

Properties
Total moment in Bohr magnetons per cell: 0.0
Uncorrected energy in eV per cell: -209.86

Cell lengths 8.0463, 8.0463, 8.0463 Å; angles 90.00, 90.00, 90.00 degrees
Closest atoms and distances in Å follow each position.
Space group Fd-3m (No. 227, origin choice 2)
Symmetry-distinct sites (fractional):
Ta (0.0000, 0.0000, 0.0000) (multiplicity 16)  6 Ta 2.84
Bi (0.1250, 0.1250, 0.6250) (multiplicity 8)  12 Ta 3.34, 4 Bi 3.48

Entry 14:
Compound: RbScCuSe3
Source: OQMD via LeMat-Bulk
Functional: GGA-PBE
Structure: optimized geometry

Properties
Total moment in Bohr magnetons per cell: 0.0
Uncorrected energy in eV per cell: -112.74

Cell lengths 15.8948, 3.8903, 10.2967 Å; angles 90.00, 90.00, 90.00 degrees
Closest atoms and distances in Å follow each position.
Space group Pnma (No. 62)
Symmetry-distinct sites (fractional):
Rb (0.2367, 0.2500, 0.0314) (multiplicity 4)  7 Se 3.40-3.62
Sc (0.0195, 0.2500, 0.3428) (multiplicity 4)  6 Se 2.68-2.79
Cu (0.0116, 0.7500, 0.0940) (multiplicity 4)  4 Se 2.43-2.46
Se (0.0805, 0.7500, 0.8798) (multiplicity 4)  3 Cu 2.45-2.46
Se (0.0903, 0.2500, 0.5788) (multiplicity 4)  3 Sc 2.68-2.74
Se (0.1237, 0.7500, 0.2541) (multiplicity 4)  1 Cu 2.43, 2 Sc 2.71

Entry 15:
Compound: Sc4As3W2N3
Source: OQMD via LeMat-Bulk
Functional: GGA-PBE
Structure: optimized geometry

Properties
Total moment in Bohr magnetons per cell: 0.0
Uncorrected energy in eV per cell: -409.38

Cell lengths 9.9184, 5.7837, 12.4311 Å; angles 90.00, 105.37, 90.00 degrees
Closest atoms and distances in Å follow each position.
Space group C2/c (No. 15)
Symmetry-distinct sites (fractional):
Sc (0.1173, 0.0848, 0.1004) (multiplicity 8)  3 N 2.24-2.27
Sc (0.2164, 0.0822, 0.3997) (multiplicity 8)  3 N 2.23-2.27
As (0.0000, 0.1095, 0.7500) (multiplicity 4)  4 Sc 2.68-2.69, 2 W 2.69
As (0.1535, 0.4289, 0.2500) (multiplicity 8)  2 W 2.63-2.68, 4 Sc 2.68-2.69
W (0.0508, 0.4211, 0.9163) (multiplicity 8)  3 N 2.17-2.21
N (0.0860, 0.2425, 0.5004) (multiplicity 8)  2 W 2.17-2.19, 4 Sc 2.23-2.27
N (0.2500, 0.2500, 0.0000) (multiplicity 4)  2 W 2.21, 4 Sc 2.25-2.27

Entry 16:
Compound: KPrFeTe3
Source: OQMD via LeMat-Bulk
Functional: GGA-PBE
Structure: optimized geometry

Properties
Total moment in Bohr magnetons per cell: 7.7
Energy above the most stable polymorph in this dataset in eV per atom: 0.000

Cell lengths 9.6492, 4.3856, 10.7359 Å; angles 90.00, 107.57, 90.00 degrees
Closest atoms and distances in Å follow each position.
Space group P2_1/m (No. 11)
Symmetry-distinct sites (fractional):
K (0.2330, 0.2500, 0.2728) (multiplicity 2)  6 Te 3.49-3.65
Pr (0.3165, 0.7500, 0.8596) (multiplicity 2)  6 Te 3.16-3.27
Fe (0.0641, 0.2500, 0.5788) (multiplicity 2)  4 Te 2.63-2.75, 2 Fe 2.82
Te (0.0701, 0.2500, 0.8288) (multiplicity 2)  1 Fe 2.67
Te (0.2178, 0.7500, 0.5406) (multiplicity 2)  3 Fe 2.63-2.75
Te (0.4545, 0.7500, 0.1663) (multiplicity 2)  3 Pr 3.16-3.18, 2 K 3.49

Entry 17:
Compound: K3IrN6O12
Source: OQMD via LeMat-Bulk
Functional: GGA-PBE
Structure: optimized geometry

Properties
Total moment in Bohr magnetons per cell: 0.8
Uncorrected energy in eV per cell: -414.65

Cell lengths 9.9974, 9.9974, 9.9974 Å; angles 90.00, 90.00, 90.00 degrees
Closest atoms and distances in Å follow each position.
Space group Fm-3m (No. 225)
Symmetry-distinct sites (fractional):
K (0.0000, 0.0000, 0.0000) (multiplicity 4)  6 N 2.97
K (0.2500, 0.2500, 0.2500) (multiplicity 8)  12 O 2.59
Ir (0.0000, 0.0000, 0.5000) (multiplicity 4)  6 N 2.03
N (0.0000, 0.0000, 0.2971) (multiplicity 24)  4 O 2.02, 1 Ir 2.03
O (0.0000, 0.2022, 0.2978) (multiplicity 48)  1 O 1.35

Entry 18:
Compound: ScNiB
Source: OQMD via LeMat-Bulk
Functional: GGA-PBE
Structure: optimized geometry

Properties
Total moment in Bohr magnetons per cell: 0.0
Energy above the most stable polymorph in this dataset in eV per atom: 0.000

Cell lengths 5.9646, 3.5109, 6.9222 Å; angles 90.00, 90.00, 90.00 degrees
Closest atoms and distances in Å follow each position.
Space group Pnma (No. 62)
Symmetry-distinct sites (fractional):
Sc (0.0225, 0.2500, 0.1858) (multiplicity 4)  5 B 2.55-2.63, 6 Ni 2.66-2.80
Ni (0.1453, 0.2500, 0.5557) (multiplicity 4)  3 B 2.10-2.13
B (0.2080, 0.7500, 0.3988) (multiplicity 4)  3 Ni 2.10-2.13

Entry 19:
Compound: Ag17Bi
Source: OQMD via LeMat-Bulk
Functional: GGA-PBE
Structure: optimized geometry

Properties
Uncorrected energy in eV per cell: -102.23

Cell lengths 5.8017, 5.8017, 32.2244 Å; angles 90.00, 90.00, 120.00 degrees
Closest atoms and distances in Å follow each position.
Space group P-3m1 (No. 164)
Symmetry-distinct sites (fractional):
Ag (0.0000, 0.0000, 0.0000) (multiplicity 1)  12 Ag 2.90-2.95
Ag (0.0000, 0.0000, 0.2239) (multiplicity 2)  12 Ag 2.90-2.95
Ag (0.0000, 0.5000, 0.0000) (multiplicity 3)  12 Ag 2.90-2.94
Ag (0.0035, 0.5018, 0.2253) (multiplicity 6)  11 Ag 2.87-2.95
Ag (0.1672, 0.3343, 0.1498) (multiplicity 6)  12 Ag 2.89-2.95
Ag (0.1671, 0.3341, 0.7007) (multiplicity 6)  7 Ag 2.89-2.95, 2 Bi 2.99
Ag (0.1670, 0.3339, 0.9249) (multiplicity 6)  12 Ag 2.90-2.96
Ag (0.3333, 0.6667, 0.0749) (multiplicity 2)  12 Ag 2.90-2.94
Ag (0.3333, 0.6667, 0.8492) (multiplicity 2)  12 Ag 2.90-2.96
Bi (0.3333, 0.6667, 0.3223) (multiplicity 2)  6 Ag 2.99

Entry 20:
Compound: RbCd2Au2
Source: OQMD via LeMat-Bulk
Functional: GGA-PBE
Structure: optimized geometry

Properties
Energy above the most stable polymorph in this dataset in eV per atom: 0.035

Cell lengths 5.1127, 5.1127, 10.6834 Å; angles 90.00, 90.00, 90.00 degrees
Closest atoms and distances in Å follow each position.
Space group I4/mmm (No. 139)
Symmetry-distinct sites (fractional):
Rb (0.0000, 0.0000, 0.0000) (multiplicity 2)  8 Au 3.70, 10 Cd 3.89-3.90
Cd (0.0000, 0.0000, 0.3641) (multiplicity 4)  4 Au 2.83, 1 Cd 2.90
Au (0.0000, 0.5000, 0.2500) (multiplicity 4)  4 Cd 2.83

Entry 21:
Compound: TbDyCd6
Source: OQMD via LeMat-Bulk
Functional: GGA-PBE
Structure: optimized geometry

Properties
Formation energy in eV per formula unit: -2.37
Total moment in Bohr magnetons per cell: 0.0

Cell lengths 6.5869, 6.5869, 4.9828 Å; angles 90.00, 90.00, 120.00 degrees
Closest atoms and distances in Å follow each position.
Space group P-6m2 (No. 187)
Symmetry-distinct sites (fractional):
Tb (0.0000, 0.0000, 0.0000) (multiplicity 1)  12 Cd 3.16-3.29
Dy (0.6667, 0.3333, 0.5000) (multiplicity 1)  12 Cd 3.16-3.29
Cd (0.0079, 0.5039, 0.0000) (multiplicity 3)  8 Cd 3.11-3.37, 2 Dy 3.16, 2 Tb 3.29
Cd (0.1711, 0.3422, 0.5000) (multiplicity 3)  8 Cd 3.11-3.38, 2 Tb 3.16, 2 Dy 3.29